Entry 1:
LaBeFe at its PBEsol-relaxed geometry, computed with meta-GGA SCAN.

CIF file:
```
data_LaBeFe
_space_group_name_H-M_alt 'F -4 3 m'
_space_group_IT_number 216
_space_group_name_Hall 'F -4 2 3'
_cell_length_a 6.448
_cell_length_b 6.448
_cell_length_c 6.448
_cell_angle_alpha 90.00
_cell_angle_beta 90.00
_cell_angle_gamma 90.00
loop_
_atom_site_label
_atom_site_type_symbol
_atom_site_fract_x
_atom_site_fract_y
_atom_site_fract_z
La1 La 0.000 0.000 0.000
Be1 Be 0.250 0.250 0.750
Fe1 Fe 0.250 0.250 0.250
```

As for the total energy: -20.57 eV per atom.

Entry 2:
LaBe2Fe at its PBEsol-relaxed geometry, computed with meta-GGA SCAN.

CIF file:
```
data_LaBe2Fe
_space_group_name_H-M_alt 'F m -3 m'
_space_group_IT_number 225
_space_group_name_Hall '-F 4 2 3'
_cell_length_a 6.318
_cell_length_b 6.318
_cell_length_c 6.318
_cell_angle_alpha 90.00
_cell_angle_beta 90.00
_cell_angle_gamma 90.00
loop_
_atom_site_label
_atom_site_type_symbol
_atom_site_fract_x
_atom_site_fract_y
_atom_site_fract_z
La1 La 0.000 0.000 0.000
Be1 Be 0.250 0.250 0.250
Fe1 Fe 0.000 0.000 0.500
```

As for the total energy: -17.02 eV per atom. As for the energy above the most stable polymorph in this dataset: 0.615 eV/f.u.

Entry 3:
Li2BeFe at its PBEsol-relaxed geometry, computed with meta-GGA SCAN.

CIF file:
```
data_Li2BeFe
_space_group_name_H-M_alt 'P m m m'
_space_group_IT_number 47
_cell_length_a 2.550
_cell_length_b 3.960
_cell_length_c 4.322
_cell_angle_alpha 90.00
_cell_angle_beta 90.00
_cell_angle_gamma 90.00
loop_
_space_group_symop_operation_xyz
'x,y,z'
'-x,-y,-z'
'-x,-y,z'
'x,y,-z'
'x,-y,-z'
'-x,y,z'
'-x,y,-z'
'x,-y,z'
loop_
_atom_site_label
_atom_site_type_symbol
_atom_site_fract_x
_atom_site_fract_y
_atom_site_fract_z
Li1 Li 0.000 0.000 0.000
Li2 Li 0.500 0.500 0.000
Be1 Be 0.000 0.500 0.500
Fe1 Fe 0.500 0.000 0.500
```

As for the total energy: -6.60 eV per atom.

Entry 4:
LiBeFe4 at its PBEsol-relaxed geometry, computed with meta-GGA SCAN.

CIF file:
```
data_LiBeFe4
_space_group_name_H-M_alt 'F -4 3 m'
_space_group_IT_number 216
_space_group_name_Hall 'F -4 2 3'
_cell_length_a 6.493
_cell_length_b 6.493
_cell_length_c 6.493
_cell_angle_alpha 90.00
_cell_angle_beta 90.00
_cell_angle_gamma 90.00
loop_
_atom_site_label
_atom_site_type_symbol
_atom_site_fract_x
_atom_site_fract_y
_atom_site_fract_z
Li1 Li 0.000 0.000 0.000
Be1 Be 0.250 0.250 0.750
Fe1 Fe 0.125 0.125 0.375
```

As for the total energy: -12.86 eV per atom.

Entry 5:
Li2BeFe at its PBEsol-relaxed geometry, computed with meta-GGA SCAN.

CIF file:
```
data_Li2BeFe
_space_group_name_H-M_alt 'R -3 m'
_space_group_IT_number 166
_space_group_name_Hall '-R 3 2"'
_cell_length_a 2.4181
_cell_length_b 2.4181
_cell_length_c 26.3353
_cell_angle_alpha 90.00
_cell_angle_beta 90.00
_cell_angle_gamma 120.00
loop_
_atom_site_label
_atom_site_type_symbol
_atom_site_fract_x
_atom_site_fract_y
_atom_site_fract_z
Li1 Li 0.0000 0.0000 0.2503
Be1 Be 0.0000 0.0000 0.5000
Fe1 Fe 0.0000 0.0000 0.0000
```

As for the total energy: -6.53 eV per atom.

Entry 6:
MgBeFe at its PBEsol-relaxed geometry, computed with meta-GGA SCAN.

CIF file:
```
data_MgBeFe
_space_group_name_H-M_alt 'I 4 m m'
_space_group_IT_number 107
_space_group_name_Hall 'I 4 -2'
_cell_length_a 2.817
_cell_length_b 2.817
_cell_length_c 9.233
_cell_angle_alpha 90.00
_cell_angle_beta 90.00
_cell_angle_gamma 90.00
loop_
_atom_site_label
_atom_site_type_symbol
_atom_site_fract_x
_atom_site_fract_y
_atom_site_fract_z
Mg1 Mg 0.000 0.000 0.000
Be1 Be 0.000 0.000 0.295
Fe1 Fe 0.000 0.000 0.696
```

As for the total energy: -8.96 eV per atom.

Entry 7:
MnBeFe2 at its PBEsol-relaxed geometry, computed with meta-GGA SCAN.

CIF file:
```
data_MnBeFe2
_space_group_name_H-M_alt 'I m m m'
_space_group_IT_number 71
_space_group_name_Hall '-I 2 2'
_cell_length_a 2.817
_cell_length_b 3.743
_cell_length_c 7.298
_cell_angle_alpha 90.00
_cell_angle_beta 90.00
_cell_angle_gamma 90.00
loop_
_atom_site_label
_atom_site_type_symbol
_atom_site_fract_x
_atom_site_fract_y
_atom_site_fract_z
Mn1 Mn 0.000 0.000 0.000
Be1 Be 0.000 0.000 0.500
Fe1 Fe 0.000 0.500 0.246
```

As for the total energy: -14.72 eV per atom.

Entry 8:
MnBe4Fe at its PBEsol-relaxed geometry, computed with meta-GGA SCAN.

CIF file:
```
data_MnBe4Fe
_space_group_name_H-M_alt 'F -4 3 m'
_space_group_IT_number 216
_space_group_name_Hall 'F -4 2 3'
_cell_length_a 5.841
_cell_length_b 5.841
_cell_length_c 5.841
_cell_angle_alpha 90.00
_cell_angle_beta 90.00
_cell_angle_gamma 90.00
loop_
_atom_site_label
_atom_site_type_symbol
_atom_site_fract_x
_atom_site_fract_y
_atom_site_fract_z
Mn1 Mn 0.000 0.000 0.000
Be1 Be 0.125 0.125 0.375
Fe1 Fe 0.250 0.250 0.750
```

As for the total energy: -9.26 eV per atom.

Entry 9:
MnBeFe2 at its PBEsol-relaxed geometry, computed with meta-GGA SCAN.

CIF file:
```
data_MnBeFe2
_space_group_name_H-M_alt 'P 4/m m m'
_space_group_IT_number 123
_space_group_name_Hall '-P 4 2'
_cell_length_a 2.477
_cell_length_b 2.477
_cell_length_c 6.179
_cell_angle_alpha 90.00
_cell_angle_beta 90.00
_cell_angle_gamma 90.00
loop_
_atom_site_label
_atom_site_type_symbol
_atom_site_fract_x
_atom_site_fract_y
_atom_site_fract_z
Mn1 Mn 0.000 0.000 0.000
Be1 Be 0.000 0.000 0.500
Fe1 Fe 0.500 0.500 0.268
```

As for the total energy: -14.77 eV per atom.

Entry 10:
MnBeFe2 at its PBEsol-relaxed geometry, computed with meta-GGA SCAN.

CIF file:
```
data_MnBeFe2
_space_group_name_H-M_alt 'P m m m'
_space_group_IT_number 47
_cell_length_a 3.009
_cell_length_b 3.625
_cell_length_c 3.643
_cell_angle_alpha 90.00
_cell_angle_beta 90.00
_cell_angle_gamma 90.00
loop_
_space_group_symop_operation_xyz
'x,y,z'
'-x,-y,-z'
'-x,-y,z'
'x,y,-z'
'x,-y,-z'
'-x,y,z'
'-x,y,-z'
'x,-y,z'
loop_
_atom_site_label
_atom_site_type_symbol
_atom_site_fract_x
_atom_site_fract_y
_atom_site_fract_z
Mn1 Mn 0.000 0.000 0.000
Be1 Be 0.500 0.500 0.000
Fe1 Fe 0.000 0.500 0.500
Fe2 Fe 0.500 0.000 0.500
```

As for the total energy: -14.76 eV per atom.

Entry 11:
Mn2BeFe at its PBEsol-relaxed geometry, computed with meta-GGA SCAN.

CIF file:
```
data_Mn2BeFe
_space_group_name_H-M_alt 'I m m m'
_space_group_IT_number 71
_space_group_name_Hall '-I 2 2'
_cell_length_a 2.716
_cell_length_b 3.665
_cell_length_c 7.588
_cell_angle_alpha 90.00
_cell_angle_beta 90.00
_cell_angle_gamma 90.00
loop_
_atom_site_label
_atom_site_type_symbol
_atom_site_fract_x
_atom_site_fract_y
_atom_site_fract_z
Mn1 Mn 0.000 0.000 0.247
Be1 Be 0.000 0.500 0.500
Fe1 Fe 0.000 0.500 0.000
```

As for the total energy: -14.71 eV per atom.

Entry 12:
MnBeFe at its PBEsol-relaxed geometry, computed with meta-GGA SCAN.

CIF file:
```
data_MnBeFe
_space_group_name_H-M_alt 'I 4 m m'
_space_group_IT_number 107
_space_group_name_Hall 'I 4 -2'
_cell_length_a 2.588
_cell_length_b 2.588
_cell_length_c 8.157
_cell_angle_alpha 90.00
_cell_angle_beta 90.00
_cell_angle_gamma 90.00
loop_
_atom_site_label
_atom_site_type_symbol
_atom_site_fract_x
_atom_site_fract_y
_atom_site_fract_z
Mn1 Mn 0.000 0.000 0.000
Be1 Be 0.000 0.000 0.670
Fe1 Fe 0.000 0.000 0.329
```

As for the total energy: -13.61 eV per atom.

Entry 13:
MnBeFe2Pb at its PBEsol-relaxed geometry, computed with meta-GGA SCAN.

CIF file:
```
data_MnBeFe2Pb
_space_group_name_H-M_alt 'P 4/m m m'
_space_group_IT_number 123
_space_group_name_Hall '-P 4 2'
_cell_length_a 4.175
_cell_length_b 4.175
_cell_length_c 4.887
_cell_angle_alpha 90.00
_cell_angle_beta 90.00
_cell_angle_gamma 90.00
loop_
_atom_site_label
_atom_site_type_symbol
_atom_site_fract_x
_atom_site_fract_y
_atom_site_fract_z
Mn1 Mn 0.000 0.000 0.000
Be1 Be 0.500 0.500 0.500
Fe1 Fe 0.000 0.500 0.000
Pb1 Pb 0.000 0.000 0.500
```

As for the total energy: -25.50 eV per atom.

Entry 14:
Be2FeMo2 at its PBEsol-relaxed geometry, computed with meta-GGA SCAN.

CIF file:
```
data_Be2FeMo2
_space_group_name_H-M_alt 'P 4/m b m'
_space_group_IT_number 127
_space_group_name_Hall '-P 4 2ab'
_cell_length_a 5.882
_cell_length_b 5.882
_cell_length_c 3.237
_cell_angle_alpha 90.00
_cell_angle_beta 90.00
_cell_angle_gamma 90.00
loop_
_atom_site_label
_atom_site_type_symbol
_atom_site_fract_x
_atom_site_fract_y
_atom_site_fract_z
Be1 Be 0.122 0.378 0.000
Fe1 Fe 0.000 0.000 0.000
Mo1 Mo 0.177 0.677 0.500
```

As for the total energy: -19.44 eV per atom.

For reference, energy of formation from the pure elements by record: 1.294 0.467 0.213 0.353 0.283 0.192 -0.007 -0.289 -0.053 -0.038 0.038 -0.035 1.430 -0.119 eV/atom.